[1]
Tm6SnSb2Se3 after structural relaxation, computed with PBE.

a b c (Å): 18.240 4.202 8.367
angles (deg): 90.00 102.73 90.00
Space group C2/m (No. 12)
Unique sites:
Tm1 0.003 0.000 0.249 x4
Tm2 0.164 0.500 0.089 x4
Tm3 0.167 0.500 0.576 x4
Sn1 0.000 0.500 0.500 x2
Sb1 0.167 0.000 0.834 x4
Se1 0.000 0.500 0.000 x2
Se2 0.168 0.000 0.333 x4


[2]
Tm4SnSb2Se after structural relaxation, computed with PBE.

a b c (Å): 7.407 4.256 7.415
angles (deg): 90.00 109.28 90.00
Space group P2/m (No. 10)
Unique sites:
Tm1 0.244 0.000 0.249 x2
Tm2 0.245 0.500 0.751 x2
Sn1 0.000 0.000 0.500 x1
Sb1 0.500 0.000 0.000 x1
Sb2 0.500 0.500 0.500 x1
Se1 0.000 0.500 0.000 x1


[3]
Tm4SnSbSe2 after structural relaxation, computed with PBE.

a b c (Å): 7.244 4.205 7.283
angles (deg): 90.00 109.53 90.00
Space group P2/m (No. 10)
Unique sites:
Tm1 0.244 0.000 0.244 x2
Tm2 0.245 0.500 0.751 x2
Sn1 0.500 0.000 0.000 x1
Sb1 0.500 0.500 0.500 x1
Se1 0.000 0.000 0.500 x1
Se2 0.000 0.500 0.000 x1


[4]
Y6Sn2SbSe3 after structural relaxation, computed with PBE.

a b c (Å): 18.551 4.259 8.522
angles (deg): 90.00 103.16 90.00
Space group C2/m (No. 12)
Unique sites:
Y1 0.000 0.000 0.244 x4
Y2 0.165 0.500 0.087 x4
Y3 0.169 0.500 0.582 x4
Sn1 0.167 0.000 0.834 x4
Sb1 0.000 0.500 0.500 x2
Se1 0.000 0.500 0.000 x2
Se2 0.165 0.000 0.334 x4


| no. | magnetization (μB per atom) | VASP energy (eV/atom) |
| --- | --- | --- |
| 1 | 0.0000 | -5.430 |
| 2 | 0.0000 | -5.311 |
| 3 | 0.0000 | -5.394 |
| 4 | 0.0000 | -6.446 |